No. 1
DyGa2Ag6 after structural relaxation. Source: Alexandria, functional GGA-PBE.

abc: 4.219 4.219 9.639
angles: 90.00 90.00 90.00
Fractional positions:
Dy (0.000, 0.000, 0.000)
Ga (0.500, 0.500, 0.125)
Ga (0.500, 0.500, 0.875)
Ag (0.000, 0.000, 0.500)
Ag (0.000, 0.500, 0.287)
Ag (0.000, 0.500, 0.713)
Ag (0.500, 0.000, 0.287)
Ag (0.500, 0.000, 0.713)
Ag (0.500, 0.500, 0.500)

As for the total DFT energy (no corrections): -3.26 eV per atom. As for the energy of formation from the pure elements: -1.57 eV per formula unit. As for the relative energy among the computed polymorphs: 0.00 eV per formula unit. As for the space-group type: P4/mmm, No. 123.



No. 2
TbPm12Dy7 after structural relaxation. Source: Alexandria, functional GGA-PBE.

abc: 11.510 11.510 11.510
angles: 116.85 116.85 116.85
Fractional positions:
Tb (0.000, 0.000, 0.000)
Pm (0.061, 0.415, 0.415)
Pm (0.087, 0.500, 0.913)
Pm (0.087, 0.913, 0.500)
Pm (0.415, 0.061, 0.415)
Pm (0.415, 0.415, 0.061)
Pm (0.500, 0.087, 0.913)
Pm (0.500, 0.913, 0.087)
Pm (0.585, 0.585, 0.939)
Pm (0.585, 0.939, 0.585)
Pm (0.913, 0.087, 0.500)
Pm (0.913, 0.500, 0.087)
Pm (0.939, 0.585, 0.585)
Dy (0.126, 0.126, 0.371)
Dy (0.126, 0.371, 0.126)
Dy (0.371, 0.126, 0.126)
Dy (0.500, 0.500, 0.500)
Dy (0.629, 0.874, 0.874)
Dy (0.874, 0.629, 0.874)
Dy (0.874, 0.874, 0.629)

As for the total DFT energy (no corrections): -4.45 eV per atom. As for the energy of formation from the pure elements: 4.91 eV per formula unit. As for the relative energy among the computed polymorphs: 0.00 eV per formula unit. As for the space-group type: R-3m, No. 166.



No. 3
BeAg2B2 after structural relaxation. Source: Alexandria, functional GGA-PBE.

abc: 5.031 5.031 5.031
angles: 134.51 134.51 66.29
Fractional positions:
Be (0.000, 0.000, 0.000)
Ag (0.250, 0.750, 0.500)
Ag (0.750, 0.250, 0.500)
B (0.408, 0.408, 0.000)
B (0.592, 0.592, 0.000)

As for the total DFT energy (no corrections): -3.68 eV per atom. As for the energy of formation from the pure elements: 4.38 eV per formula unit. As for the relative energy among the computed polymorphs: 1.14 eV per formula unit. As for the space-group type: I4/mmm, No. 139.



No. 4
MnPtPb3 after structural relaxation. Source: Alexandria, functional GGA-PBE.

abc: 5.404 5.404 5.404
angles: 90.00 90.00 90.00
Fractional positions:
Mn (0.000, 0.000, 0.000)
Pt (0.500, 0.500, 0.500)
Pb (0.000, 0.500, 0.500)
Pb (0.500, 0.000, 0.500)
Pb (0.500, 0.500, 0.000)

As for the total DFT energy (no corrections): -4.72 eV per atom. As for the energy of formation from the pure elements: 2.74 eV per formula unit. As for the relative energy among the computed polymorphs: 0.00 eV per formula unit. As for the space-group type: Pm-3m, No. 221.



No. 5
TmHg2Se after structural relaxation. Source: Alexandria, functional GGA-PBE.

abc: 10.829 10.829 10.829
angles: 18.41 18.41 18.41
Fractional positions:
Tm (0.000, 0.000, 0.000)
Hg (0.093, 0.093, 0.093)
Hg (0.907, 0.907, 0.907)
Se (0.500, 0.500, 0.500)

As for the total DFT energy (no corrections): -1.97 eV per atom. The energy relative to the elements, uncorrected is 168.1 meV per atom. As for the space-group type: R-3m, No. 166.



No. 6
Zr2GeF after structural relaxation. Source: Alexandria, functional GGA-PBE.

abc: 7.541 7.541 7.541
angles: 140.75 140.75 56.71
Fractional positions:
Zr (0.053, 0.625, 0.928)
Zr (0.375, 0.303, 0.428)
Zr (0.697, 0.125, 0.072)
Zr (0.875, 0.947, 0.572)
Ge (0.250, 0.750, 0.500)
Ge (0.500, 0.500, 0.000)
F (0.000, 0.000, 0.000)
F (0.750, 0.250, 0.500)

As for the total DFT energy (no corrections): -6.56 eV per atom. The energy relative to the elements, uncorrected is -659.3 meV per atom. As for the relative energy among the computed polymorphs: 1.50 eV per formula unit. As for the space-group type: I-42d, No. 122.